SrDyCl5: relaxed, PBE.

Cell lengths 7.168, 13.474, 10.051 Å; angles 90.00, 109.56, 90.00 degrees
Space group P2_1/c (No. 14)
Unique sites:
Sr 0.036 0.020 0.257
Dy 0.394 0.244 0.603
Cl 0.079 0.121 0.553
Cl 0.141 0.108 0.996
Cl 0.301 0.647 0.368
Cl 0.354 0.185 0.340
Cl 0.393 0.591 0.787

Computed properties:
VASP energy: -4.5515 eV/atom

---

Tb2DyCl: relaxed, PBE.

Cell lengths 3.6017, 3.6017, 29.9256 Å; angles 90.00, 90.00, 120.00 degrees
Space group R-3m (No. 166, hexagonal axes)
Unique sites:
Tb 0.0000 0.0000 0.2396
Dy 0.0000 0.0000 0.0000
Cl 0.0000 0.0000 0.5000

Computed properties:
VASP energy: -4.5799 eV/atom

---

TbDyCl3: relaxed, PBE.

Cell lengths 15.949, 3.850, 10.452 Å; angles 90.00, 120.24, 90.00 degrees
Space group C2/m (No. 12)
Unique sites:
Tb 0.139 0.000 0.290
Dy 0.084 0.500 0.952
Cl 0.042 0.000 0.741
Cl 0.162 0.500 0.507
Cl 0.223 0.000 0.118

Computed properties:
VASP energy: -4.7894 eV/atom

---

TbDyCl2: relaxed, PBE.

Cell lengths 3.5528, 3.5528, 28.4453 Å; angles 90.00, 90.00, 120.00 degrees
Space group R-3m (No. 166, hexagonal axes)
Unique sites:
Tb 0.0000 0.0000 0.0000
Dy 0.0000 0.0000 0.5000
Cl 0.0000 0.0000 0.0970

Computed properties:
VASP energy: -4.4810 eV/atom

---

TbDyCl6: relaxed, PBE.

Cell lengths 6.7460, 6.7460, 18.4066 Å; angles 90.00, 90.00, 120.00 degrees
Space group R-3 (No. 148, hexagonal axes)
Unique sites:
Tb 0.0000 0.0000 0.0000
Dy 0.0000 0.0000 0.5000
Cl 0.0011 0.6454 0.2498

Computed properties:
VASP energy: -4.7925 eV/atom

---

TbDy3Cl: relaxed, PBE.

Cell lengths 5.277, 5.277, 5.277 Å; angles 90.00, 90.00, 90.00 degrees
Space group Pm-3m (No. 221)
Unique sites:
Tb 0.000 0.000 0.000
Dy 0.000 0.500 0.500
Cl 0.500 0.500 0.500

Computed properties:
VASP energy: -4.5018 eV/atom

---

Dy2TcCl: relaxed, PBE.

Cell lengths 3.409, 3.409, 7.805 Å; angles 90.00, 90.00, 90.00 degrees
Space group P4/mmm (No. 123)
Unique sites:
Dy 0.000 0.000 0.211
Tc 0.500 0.500 0.000
Cl 0.500 0.500 0.500

Computed properties:
Polymorph energy (0 for the lowest one): 0.000 eV per atom
VASP energy: -6.0673 eV/atom

---

Dy2TcCl: relaxed, PBE.

Cell lengths 3.2399, 3.2399, 29.6273 Å; angles 90.00, 90.00, 120.00 degrees
Space group R-3m (No. 166, hexagonal axes)
Unique sites:
Dy 0.0000 0.0000 0.0895
Tc 0.0000 0.0000 0.0000
Cl 0.0000 0.0000 0.5000

Computed properties:
Polymorph energy (0 for the lowest one): 0.716 eV per atom
VASP energy: -5.3513 eV/atom

---

DyTcCl: relaxed, PBE.

Cell lengths 7.040, 4.066, 11.429 Å; angles 90.00, 102.18, 90.00 degrees
Space group Cm (No. 8)
Unique sites:
Dy 0.000 0.000 0.000
Dy 0.135 0.000 0.393
Tc 0.231 0.500 0.186
Tc 0.404 0.000 0.207
Cl 0.019 0.500 0.542
Cl 0.284 0.000 0.854

Computed properties:
Polymorph energy (0 for the lowest one): 0.033 eV per atom
VASP energy: -6.6359 eV/atom

---

DyTcCl: relaxed, PBE.

Cell lengths 4.0405, 4.0405, 33.5352 Å; angles 90.00, 90.00, 120.00 degrees
Space group R-3m (No. 166, hexagonal axes)
Unique sites:
Dy 0.0000 0.0000 0.0654
Tc 0.0000 0.0000 0.3393
Cl 0.0000 0.0000 0.2190

Computed properties:
Polymorph energy (0 for the lowest one): 0.000 eV per atom
VASP energy: -6.6685 eV/atom

---

Dy2Te2Cl: relaxed, PBE.

Cell lengths 13.488, 6.084, 8.393 Å; angles 90.00, 114.42, 90.00 degrees
Space group C2/m (No. 12)
Unique sites:
Dy 0.006 0.000 0.247
Dy 0.165 0.500 0.083
Te 0.020 0.500 0.282
Te 0.186 0.000 0.118
Cl 0.144 0.000 0.606

Computed properties:
VASP energy: -5.0388 eV/atom

---

Dy2ThCl: relaxed, PBE.

Cell lengths 3.6300, 3.6300, 29.3402 Å; angles 90.00, 90.00, 120.00 degrees
Space group R-3m (No. 166, hexagonal axes)
Unique sites:
Dy 0.0000 0.0000 0.2402
Th 0.0000 0.0000 0.0000
Cl 0.0000 0.0000 0.5000

Computed properties:
VASP energy: -5.2942 eV/atom

---

DyThCl: relaxed, PBE.

Cell lengths 10.735, 3.541, 9.395 Å; angles 90.00, 99.20, 90.00 degrees
Space group C2/m (No. 12)
Unique sites:
Dy 0.196 0.000 0.316
Th 0.118 0.000 0.924
Cl 0.025 0.500 0.671

Computed properties:
VASP energy: -5.2151 eV/atom

---

DyTi2Cl8: relaxed, PBE.

Cell lengths 12.822, 9.458, 6.452 Å; angles 90.00, 92.83, 90.00 degrees
Space group C2/m (No. 12)
Unique sites:
Dy 0.000 0.000 0.000
Ti 0.193 0.000 0.634
Cl 0.097 0.190 0.773
Cl 0.139 0.500 0.257
Cl 0.168 0.000 0.267

Computed properties:
VASP energy: -4.8460 eV/atom

---

DyTlCl4: relaxed, PBE.

Cell lengths 8.460, 17.347, 6.837 Å; angles 90.00, 114.10, 90.00 degrees
Space group C2/c (No. 15)
Unique sites:
Dy 0.000 0.068 0.250
Tl 0.000 0.318 0.250
Cl 0.187 0.047 0.669
Cl 0.218 0.171 0.247

Computed properties:
Polymorph energy (0 for the lowest one): 0.000 eV per atom
VASP energy: -4.2773 eV/atom

---

Dy2Tl5Cl12: relaxed, PBE.

Cell lengths 16.050, 9.856, 7.518 Å; angles 90.00, 105.02, 90.00 degrees
Space group C2/m (No. 12)
Unique sites:
Dy 0.000 0.248 0.000
Tl 0.000 0.500 0.500
Tl 0.145 0.000 0.504
Tl 0.245 0.500 0.003
Cl 0.025 0.000 0.810
Cl 0.076 0.500 0.182
Cl 0.095 0.306 0.752
Cl 0.160 0.195 0.209

Computed properties:
VASP energy: -3.7383 eV/atom

---

DyTl3Cl6: relaxed, PBE.

Cell lengths 7.495, 8.219, 12.956 Å; angles 90.00, 122.69, 90.00 degrees
Space group P2_1/c (No. 14)
Unique sites:
Dy 0.000 0.000 0.000
Tl 0.289 0.068 0.765
Tl 0.500 0.000 0.500
Cl 0.101 0.063 0.227
Cl 0.237 0.732 0.077
Cl 0.336 0.166 0.042

Computed properties:
VASP energy: -3.8367 eV/atom

---

DyTlCl4: relaxed, PBE.

Cell lengths 7.914, 6.897, 7.319 Å; angles 90.00, 99.95, 90.00 degrees
Space group P2_1/c (No. 14)
Unique sites:
Dy 0.000 0.000 0.000
Tl 0.500 0.000 0.500
Cl 0.099 0.185 0.712
Cl 0.312 0.623 0.598

Computed properties:
Polymorph energy (0 for the lowest one): 0.029 eV per atom
VASP energy: -4.2487 eV/atom

---

DyTl2Cl5: relaxed, PBE.

Cell lengths 13.758, 7.735, 7.722 Å; angles 90.00, 123.36, 90.00 degrees
Space group Cm (No. 8)
Unique sites:
Dy 0.000 0.000 0.000
Tl 0.191 0.500 0.238
Tl 0.195 0.000 0.695
Cl 0.041 0.228 0.283
Cl 0.081 0.230 0.864
Cl 0.285 0.500 0.740

Computed properties:
Polymorph energy (0 for the lowest one): 0.065 eV per atom
VASP energy: -3.9368 eV/atom

---

DyTl2Cl5: relaxed, PBE.

Cell lengths 13.058, 8.621, 8.289 Å; angles 90.00, 90.00, 90.00 degrees
Space group Pnma (No. 62)
Unique sites:
Dy 0.005 0.250 0.072
Tl 0.170 0.007 0.568
Cl 0.010 0.250 0.402
Cl 0.065 0.546 0.162
Cl 0.181 0.250 0.904
Cl 0.195 0.750 0.853

Computed properties:
Polymorph energy (0 for the lowest one): 0.000 eV per atom
VASP energy: -4.0019 eV/atom